#1
A relaxed structure of CePrSmTh, computed with PBE-GGA.

Symmetry: Cm

Cell: 3.5825 3.5836 11.8667 Å, 89.99 98.73 120.02°
Closest atoms and distances in Å follow each position.
Positions (direct):
Ce  0.3048  0.5507  0.8727  3 Th 3.44-3.45, 3 Sm 3.52, 6 Ce 3.58
Sm  0.4757  0.1363  0.6289  3 Ce 3.52, 6 Sm 3.58, 3 Pr 3.76-3.77
Th  0.1314  0.9632  0.1085  3 Ce 3.44-3.45, 6 Th 3.58, 3 Pr 3.59
Pr  0.9660  0.3806  0.3596  6 Pr 3.58, 3 Th 3.59, 3 Sm 3.76-3.77



#2
A relaxed structure of CePrSmTh, computed with PBE-GGA.

Symmetry: F-43m

Cell: 5.7171 5.7171 5.7171 Å, 60.00 60.00 60.00°
Closest atoms and distances in Å follow each position.
Positions (direct):
Sm  0.2500  0.2500  0.2500  4 Pr 3.50, 4 Th 3.50
Th  0.5000  0.5000  0.5000  4 Sm 3.50, 4 Ce 3.50
Pr  0.0000  0.0000  0.0000  4 Ce 3.50, 4 Sm 3.50
Ce  0.7500  0.7500  0.7500  4 Th 3.50, 4 Pr 3.50



The most stable structure shown above is #1; the least stable is #2.